[1]
Below is a crystal of In2CuCl relaxed with PBEsol, with properties calculated at the SCAN level.

Results
As for the symmetry: Imm2, No. 44. For the spin magnetization, the calculation gives 0.00 μB/atom. The value obtained for the density of states at the Fermi level is 0.31 states/eV per atom.

a = 3.2007 Å, b = 5.2895 Å, c = 9.9129 Å
α = 90.00°, β = 90.00°, γ = 90.00°
Closest atoms and distances in Å follow each position.
Atoms (fractional coordinates):
In: 0.0000 0.0000 0.0000  4 Cu 3.09, 6 In 3.20-3.40, 2 Cl 3.21
In: 0.0000 0.5000 0.2152  2 Cu 2.67
In: 0.5000 0.0000 0.7152  2 Cu 2.67
In: 0.5000 0.5000 0.5000  4 Cu 3.09, 6 In 3.20-3.40, 2 Cl 3.21
Cu: 0.0000 0.0000 0.4995  2 Cl 2.42, 2 In 2.67
Cu: 0.5000 0.5000 0.9995  2 Cl 2.42, 2 In 2.67
Cl: 0.0000 0.5000 0.8167  2 Cu 2.42
Cl: 0.5000 0.0000 0.3167  2 Cu 2.42

=====

[2]
Below is a crystal of Rb2InCuCl6 relaxed with PBEsol, with properties calculated at the SCAN level.

Results
As for the symmetry: Fm-3m, No. 225. For the spin magnetization, the calculation gives 0.00 μB/atom. The value obtained for the density of states at the Fermi level is 0.19 states/eV per atom.

a = 7.0683 Å, b = 7.0683 Å, c = 7.0683 Å
α = 60.00°, β = 60.00°, γ = 60.00°
Closest atoms and distances in Å follow each position.
Atoms (fractional coordinates):
Rb: 0.2500 0.2500 0.2500  12 Cl 3.53
Rb: 0.7500 0.7500 0.7500  12 Cl 3.53
In: 0.0000 0.0000 0.0000  6 Cl 2.55
Cu: 0.5000 0.5000 0.5000  6 Cl 2.45
Cl: 0.2548 0.2548 0.7452  1 Cu 2.45, 1 In 2.55
Cl: 0.2548 0.7452 0.2548  1 Cu 2.45, 1 In 2.55
Cl: 0.2548 0.7452 0.7452  1 Cu 2.45, 1 In 2.55
Cl: 0.7452 0.2548 0.2548  1 Cu 2.45, 1 In 2.55
Cl: 0.7452 0.2548 0.7452  1 Cu 2.45, 1 In 2.55
Cl: 0.7452 0.7452 0.2548  1 Cu 2.45, 1 In 2.55

=====

[3]
Below is a crystal of CuIrCl2 relaxed with PBEsol, with properties calculated at the SCAN level.

Results
As for the symmetry: Pm, No. 6. For the spin magnetization, the calculation gives 0.00 μB/atom. The value obtained for the density of states at the Fermi level is 0.48 states/eV per atom.

a = 3.5659 Å, b = 3.2099 Å, c = 6.7883 Å
α = 90.00°, β = 100.36°, γ = 90.00°
Closest atoms and distances in Å follow each position.
Atoms (fractional coordinates):
Cu: 0.0000 0.0000 0.0000  4 Ir 2.54-2.55, 2 Cl 2.58
Ir: 0.5451 0.5000 0.1269  3 Cl 2.30-2.31, 4 Cu 2.54-2.55
Cl: 0.3253 0.5000 0.7846  1 Ir 2.31, 2 Cu 2.58
Cl: 0.6615 0.0000 0.3724  2 Ir 2.30

=====

[4]
Below is a crystal of CuIrCl2 relaxed with PBEsol, with properties calculated at the SCAN level.

Results
As for the symmetry: P4/mmm, No. 123. For the spin magnetization, the calculation gives 0.48 μB/atom. The value obtained for the density of states at the Fermi level is 0.49 states/eV per atom.

a = 2.9575 Å, b = 2.9575 Å, c = 6.9258 Å
α = 90.00°, β = 90.00°, γ = 90.00°
Closest atoms and distances in Å follow each position.
Atoms (fractional coordinates):
Cu: 0.0000 0.0000 0.0000  8 Cl 2.63
Ir: 0.0000 0.0000 0.5000  8 Cl 2.81, 4 Ir 2.96
Cl: 0.5000 0.5000 0.2301  4 Cu 2.63, 4 Ir 2.81
Cl: 0.5000 0.5000 0.7699  4 Cu 2.63, 4 Ir 2.81

=====

[5]
Below is a crystal of Cu2IrCl relaxed with PBEsol, with properties calculated at the SCAN level.

Results
As for the symmetry: Cmm2, No. 35. For the spin magnetization, the calculation gives 0.00 μB/atom. The value obtained for the density of states at the Fermi level is 0.51 states/eV per atom.

a = 2.7279 Å, b = 4.8711 Å, c = 8.2253 Å
α = 90.00°, β = 90.00°, γ = 90.00°
Closest atoms and distances in Å follow each position.
Atoms (fractional coordinates):
Cu: 0.0000 0.0000 0.0000  2 Cl 2.40, 2 Cu 2.40
Cu: 0.0000 0.5000 0.2403  2 Cu 2.40, 2 Ir 2.49
Cu: 0.5000 0.0000 0.2403  2 Cu 2.40, 2 Ir 2.49
Cu: 0.5000 0.5000 0.0000  2 Cl 2.40, 2 Cu 2.40
Ir: 0.0000 0.0000 0.4943  2 Cu 2.49, 2 Cl 2.58, 6 Ir 2.73-2.79
Ir: 0.5000 0.5000 0.4943  2 Cu 2.49, 2 Cl 2.58, 6 Ir 2.73-2.79
Cl: 0.0000 0.5000 0.7604  2 Cu 2.40, 2 Ir 2.58
Cl: 0.5000 0.0000 0.7604  2 Cu 2.40, 2 Ir 2.58

=====

[6]
Below is a crystal of CuIrCl2 relaxed with PBEsol, with properties calculated at the SCAN level.

Results
As for the symmetry: R3m, No. 160. For the spin magnetization, the calculation gives 0.00 μB/atom.

a = 3.4106 Å, b = 3.4106 Å, c = 20.9327 Å
α = 90.00°, β = 90.00°, γ = 120.00°
Closest atoms and distances in Å follow each position.
Atoms (fractional coordinates):
Cu: 0.0000 0.0000 0.0000  3 Cl 2.38, 3 Ir 2.56
Cu: 0.3333 0.6667 0.6667  3 Cl 2.38, 3 Ir 2.56
Cu: 0.6667 0.3333 0.3333  3 Cl 2.38, 3 Ir 2.56
Ir: 0.0000 0.0000 0.2556  3 Cl 2.29, 3 Cu 2.56
Ir: 0.3333 0.6667 0.9222  3 Cl 2.29, 3 Cu 2.56
Ir: 0.6667 0.3333 0.5889  3 Cl 2.29, 3 Cu 2.56
Cl: 0.0000 0.0000 0.5329  3 Ir 2.29
Cl: 0.0000 0.0000 0.7303  3 Cu 2.38
Cl: 0.3333 0.6667 0.1995  3 Ir 2.29
Cl: 0.3333 0.6667 0.3969  3 Cu 2.38
Cl: 0.6667 0.3333 0.0636  3 Cu 2.38
Cl: 0.6667 0.3333 0.8662  3 Ir 2.29

=====

[7]
Below is a crystal of CuIrCl2 relaxed with PBEsol, with properties calculated at the SCAN level.

Results
As for the symmetry: Imm2, No. 44. For the spin magnetization, the calculation gives 0.00 μB/atom. The value obtained for the density of states at the Fermi level is 0.71 states/eV per atom.

a = 3.0437 Å, b = 3.4612 Å, c = 13.5786 Å
α = 90.00°, β = 90.00°, γ = 90.00°
Closest atoms and distances in Å follow each position.
Atoms (fractional coordinates):
Cu: 0.0000 0.0000 0.0000  4 Cl 2.47, 2 Ir 2.58
Cu: 0.5000 0.5000 0.5000  4 Cl 2.47, 2 Ir 2.58
Ir: 0.0000 0.5000 0.6535  4 Cl 2.40, 2 Cu 2.58
Ir: 0.5000 0.0000 0.1535  4 Cl 2.40, 2 Cu 2.58
Cl: 0.0000 0.0000 0.4338  4 Cu 2.47
Cl: 0.0000 0.5000 0.2031  4 Ir 2.40
Cl: 0.5000 0.0000 0.7031  4 Ir 2.40
Cl: 0.5000 0.5000 0.9338  4 Cu 2.47

=====

[8]
Below is a crystal of CuIrCl2 relaxed with PBEsol, with properties calculated at the SCAN level.

Results
As for the symmetry: C2/m, No. 12. For the spin magnetization, the calculation gives 0.00 μB/atom. The value obtained for the density of states at the Fermi level is 0.81 states/eV per atom.

a = 15.0821 Å, b = 2.6627 Å, c = 4.2838 Å
α = 90.00°, β = 106.24°, γ = 90.00°
Closest atoms and distances in Å follow each position.
Atoms (fractional coordinates):
Cu: 0.0000 0.0000 0.0000  4 Ir 2.52, 2 Cu 2.66
Cu: 0.5000 0.5000 0.0000  4 Ir 2.52, 2 Cu 2.66
Ir: 0.0000 0.5000 0.5000  2 Cl 2.26, 4 Cu 2.52
Ir: 0.5000 0.0000 0.5000  2 Cl 2.26, 4 Cu 2.52
Cl: 0.1561 0.5000 0.6546  1 Ir 2.26
Cl: 0.3439 0.0000 0.3454  1 Ir 2.26
Cl: 0.6561 0.0000 0.6546  1 Ir 2.26
Cl: 0.8439 0.5000 0.3454  1 Ir 2.26

=====

[9]
Below is a crystal of Cu2IrCl relaxed with PBEsol, with properties calculated at the SCAN level.

Results
As for the symmetry: I-4m2, No. 119. For the spin magnetization, the calculation gives 0.00 μB/atom. The value obtained for the density of states at the Fermi level is 1.21 states/eV per atom.

a = 3.6888 Å, b = 3.6888 Å, c = 7.9375 Å
α = 90.00°, β = 90.00°, γ = 90.00°
Closest atoms and distances in Å follow each position.
Atoms (fractional coordinates):
Cu: 0.0000 0.0000 0.0000  4 Ir 2.61, 4 Cl 2.71, 4 Cu 2.71
Cu: 0.0000 0.5000 0.2500  4 Cl 2.61, 4 Cu 2.71, 4 Ir 2.71
Cu: 0.5000 0.0000 0.7500  4 Cl 2.61, 4 Ir 2.71, 4 Cu 2.71
Cu: 0.5000 0.5000 0.5000  4 Ir 2.61, 4 Cl 2.71, 4 Cu 2.71
Ir: 0.0000 0.0000 0.5000  8 Cu 2.61-2.71, 4 Cl 2.71
Ir: 0.5000 0.5000 0.0000  8 Cu 2.61-2.71, 4 Cl 2.71
Cl: 0.0000 0.5000 0.7500  8 Cu 2.61-2.71, 4 Ir 2.71
Cl: 0.5000 0.0000 0.2500  8 Cu 2.61-2.71, 4 Ir 2.71

=====

[10]
Below is a crystal of CuPIrCl2 relaxed with PBEsol, with properties calculated at the SCAN level.

Results
As for the symmetry: P4/mmm, No. 123. For the spin magnetization, the calculation gives 0.32 μB/atom. The value obtained for the density of states at the Fermi level is 1.09 states/eV per atom.

a = 4.2940 Å, b = 4.2940 Å, c = 4.9151 Å
α = 90.00°, β = 90.00°, γ = 90.00°
Closest atoms and distances in Å follow each position.
Atoms (fractional coordinates):
Cu: 0.0000 0.0000 0.0000  4 Cl 2.15
P: 0.0000 0.0000 0.5000  2 Cu 2.46
Ir: 0.5000 0.5000 0.5000  4 P 3.04, 8 Cl 3.26
Cl: 0.0000 0.5000 0.0000  2 Cu 2.15
Cl: 0.5000 0.0000 0.0000  2 Cu 2.15

=====

For reference, DFT total energy by record: -22.625; -15.308; -25.479; -24.697; -26.898; -25.608; -25.165; -25.510; -26.557; -21.409 eV per atom.